Run P
Computed, not measured: a relaxed structure of NbPI2 at the PBE level of DFT.

The structure belongs to space group I-42d (No. 122); the cell edges are 10.4018, 10.4018 and 4.8269 Å and the angles 90.00°, 90.00° and 90.00°. The inequivalent atoms are Nb at (0.0000, 0.0000, 0.0000), P at (0.0000, 0.0000, 0.5000) and I at (0.0990, 0.2500, 0.1250).

For the calculated volume, the calculation gives 522 Å³ per cell.

=====

Run Q
Computed, not measured: a relaxed structure of NbPI2 at the PBE level of DFT.

The structure belongs to space group Fm-3m (No. 225); the cell edges are 7.0497, 7.0497 and 7.0497 Å and the angles 90.00°, 90.00° and 90.00°. The inequivalent atoms are Nb at (0.0000, 0.0000, 0.0000), P at (0.0000, 0.0000, 0.5000) and I at (0.2500, 0.2500, 0.2500).

For the calculated volume, the calculation gives 350 Å³ per cell.

=====

Result of the stability comparison: run P is the most stable of them.

=====

Run P
Computed, not measured: a relaxed structure of Nb2PRuI at the PBE level of DFT.

The structure belongs to space group Cm (No. 8); the cell edges are 6.0198, 3.4819 and 9.5403 Å and the angles 90.00°, 102.04° and 90.00°. The inequivalent atoms are Nb at (0.0000, 0.0000, 0.0000), Nb at (0.0050, 0.5000, 0.5123), P at (0.2819, 0.0000, 0.8442), Ru at (0.3919, 0.5000, 0.6760) and I at (0.2458, 0.5000, 0.2451).

For the calculated volume, the calculation gives 196 Å³ per cell.

=====

Run Q
Computed, not measured: a relaxed structure of Nb2PRuI at the PBE level of DFT.

The structure belongs to space group Cm (No. 8); the cell edges are 7.2864, 3.9818 and 8.1954 Å and the angles 90.00°, 114.17° and 90.00°. The inequivalent atoms are Nb at (0.0000, 0.0000, 0.0000), Nb at (0.2260, 0.0000, 0.3646), P at (0.2465, 0.5000, 0.1361), Ru at (0.4547, 0.0000, 0.2021) and I at (0.0052, 0.0000, 0.6417).

For the calculated volume, the calculation gives 217 Å³ per cell.

=====

Result of the stability comparison: run Q is the most stable of them.

=====

Run P
Computed, not measured: a relaxed structure of Nb2PRuI at the PBE level of DFT.

The structure belongs to space group Pm (No. 6); the cell edges are 4.9963, 3.3734 and 5.7732 Å and the angles 90.00°, 102.04° and 90.00°. The inequivalent atoms are Nb at (0.0000, 0.0000, 0.0000), Nb at (0.3254, 0.5000, 0.3541), P at (0.5617, 0.0000, 0.1372), Ru at (0.4650, 0.5000, 0.8570) and I at (0.8970, 0.5000, 0.6034).

For the calculated volume, the calculation gives 95 Å³ per cell.

=====

Run Q
Computed, not measured: a relaxed structure of Nb2PRuI at the PBE level of DFT.

The structure belongs to space group P1 (No. 1); the cell edges are 4.0545, 4.0605 and 7.6660 Å and the angles 74.64°, 74.74° and 60.08°. The inequivalent atoms are Nb at (0.0000, 0.0000, 0.0000), Nb at (0.1228, 0.1283, 0.6240), P at (0.7371, 0.7412, 0.7845), Ru at (0.3818, 0.3844, 0.8527) and I at (0.5476, 0.5630, 0.3351).

For the calculated volume, the calculation gives 104 Å³ per cell.

=====

Result of the stability comparison: run Q is the most stable of them.

=====

Run P
Computed, not measured: a relaxed structure of Nb2PRuI at the PBE level of DFT.

The structure belongs to space group P3m1 (No. 156); the cell edges are 4.0515, 4.0515 and 7.2808 Å and the angles 90.00°, 90.00° and 120.00°. The inequivalent atoms are Nb at (0.0000, 0.0000, 0.0000), Nb at (0.0000, 0.0000, 0.3807), P at (0.6667, 0.3333, 0.2146), Ru at (0.3333, 0.6667, 0.1631) and I at (0.6667, 0.3333, 0.6957).

For the calculated volume, the calculation gives 104 Å³ per cell.

=====

Run Q
Computed, not measured: a relaxed structure of Nb2PRuI at the PBE level of DFT.

The structure belongs to space group Pmm2 (No. 25); the cell edges are 3.6022, 3.6309 and 7.9014 Å and the angles 90.00°, 90.00° and 90.00°. The inequivalent atoms are Nb at (0.0000, 0.0000, 0.0000), Nb at (0.0000, 0.5000, 0.3415), P at (0.5000, 0.5000, 0.0724), Ru at (0.5000, 0.0000, 0.2827) and I at (0.0000, 0.5000, 0.7007).

For the calculated volume, the calculation gives 103 Å³ per cell.

=====

Result of the stability comparison: run P is the most stable of them.

=====

Run P
Computed, not measured: a relaxed structure of NbPS2I at the PBE level of DFT.

The structure belongs to space group P4/mmm (No. 123); the cell edges are 4.9366, 4.9366 and 5.1442 Å and the angles 90.00°, 90.00° and 90.00°. The inequivalent atoms are Nb at (0.0000, 0.0000, 0.0000), P at (0.5000, 0.5000, 0.0000), S at (0.0000, 0.5000, 0.5000) and I at (0.5000, 0.5000, 0.5000).

For the calculated volume, the calculation gives 125 Å³ per cell.

=====

Run Q
Computed, not measured: a relaxed structure of NbPS2I at the PBE level of DFT.

The structure belongs to space group P4/mmm (No. 123); the cell edges are 4.7085, 4.7085 and 5.3308 Å and the angles 90.00°, 90.00° and 90.00°. The inequivalent atoms are Nb at (0.0000, 0.0000, 0.0000), P at (0.0000, 0.0000, 0.5000), S at (0.0000, 0.5000, 0.0000) and I at (0.5000, 0.5000, 0.5000).

For the calculated volume, the calculation gives 118 Å³ per cell.

=====

Result of the stability comparison: run Q is the most stable of them.

=====

Run P
Computed, not measured: a relaxed structure of NbSb2PI at the PBE level of DFT.

The structure belongs to space group P4/mmm (No. 123); the cell edges are 5.1452, 5.1452 and 5.2102 Å and the angles 90.00°, 90.00° and 90.00°. The inequivalent atoms are Nb at (0.0000, 0.0000, 0.0000), Sb at (0.0000, 0.5000, 0.5000), P at (0.5000, 0.5000, 0.5000) and I at (0.5000, 0.5000, 0.0000).

For the calculated volume, the calculation gives 138 Å³ per cell.

=====

Run Q
Computed, not measured: a relaxed structure of NbSb2PI at the PBE level of DFT.

The structure belongs to space group P4/mmm (No. 123); the cell edges are 5.4223, 5.4223 and 5.4580 Å and the angles 90.00°, 90.00° and 90.00°. The inequivalent atoms are Nb at (0.0000, 0.0000, 0.0000), Sb at (0.0000, 0.5000, 0.0000), P at (0.5000, 0.5000, 0.5000) and I at (0.0000, 0.0000, 0.5000).

For the calculated volume, the calculation gives 160 Å³ per cell.

=====

Result of the stability comparison: run Q is the most stable of them.

=====

Run P
Computed, not measured: a relaxed structure of Nb2PbI at the PBE level of DFT.

The structure belongs to space group I-42d (No. 122); the cell edges are 7.9123, 7.9123 and 6.1968 Å and the angles 90.00°, 90.00° and 90.00°. The inequivalent atoms are Nb at (0.2123, 0.7500, 0.1250), Pb at (0.0000, 0.0000, 0.5000) and I at (0.0000, 0.0000, 0.0000).

For the calculated volume, the calculation gives 388 Å³ per cell.

=====

Run Q
Computed, not measured: a relaxed structure of Nb2PbI at the PBE level of DFT.

The structure belongs to space group Fm-3m (No. 225); the cell edges are 6.9640, 6.9640 and 6.9640 Å and the angles 90.00°, 90.00° and 90.00°. The inequivalent atoms are Nb at (0.2500, 0.2500, 0.2500), Pb at (0.0000, 0.0000, 0.0000) and I at (0.0000, 0.0000, 0.5000).

For the calculated volume, the calculation gives 338 Å³ per cell.

=====

Result of the stability comparison: run Q is the most stable of them.

=====

Run P
Computed, not measured: a relaxed structure of NbTePdRuI at the PBE level of DFT.

The structure belongs to space group Cm (No. 8); the cell edges are 7.8923, 4.2082 and 8.4830 Å and the angles 90.00°, 98.79° and 90.00°. The inequivalent atoms are Nb at (0.0000, 0.0000, 0.0000), Te at (0.1121, 0.5000, 0.7100), Pd at (0.3065, 0.0000, 0.8335), Ru at (0.1625, 0.5000, 0.0254) and I at (0.3809, 0.5000, 0.2935).

For the calculated volume, the calculation gives 278 Å³ per cell.

=====

Run Q
Computed, not measured: a relaxed structure of NbTePdRuI at the PBE level of DFT.

The structure belongs to space group R3m (No. 160, hexagonal axes); the cell edges are 4.3034, 4.3034 and 22.6451 Å and the angles 90.00°, 90.00° and 120.00°. The inequivalent atoms are Nb at (0.0000, 0.0000, 0.0000), Te at (0.0000, 0.0000, 0.7457), Pd at (0.0000, 0.0000, 0.1163), Ru at (0.0000, 0.0000, 0.6288) and I at (0.0000, 0.0000, 0.2373).

For the calculated volume, the calculation gives 363 Å³ per cell.

=====

Result of the stability comparison: run Q is the most stable of them.

=====

Run P
Computed, not measured: a relaxed structure of NbTePdRuI at the PBE level of DFT.

The structure belongs to space group P1 (No. 1); the cell edges are 3.5702, 4.5982 and 8.7151 Å and the angles 80.28°, 88.69° and 67.21°. The inequivalent atoms are Nb at (0.0000, 0.0000, 0.0000), Te at (0.3837, 0.2612, 0.7467), Pd at (0.3029, 0.3779, 0.1459), Ru at (0.6888, 0.6330, 0.9128) and I at (0.9983, 0.9635, 0.3319).

For the calculated volume, the calculation gives 130 Å³ per cell.

=====

Run Q
Computed, not measured: a relaxed structure of NbTePdRuI at the PBE level of DFT.

The structure belongs to space group Pm (No. 6); the cell edges are 4.1098, 4.6415 and 6.5717 Å and the angles 90.00°, 90.93° and 90.00°. The inequivalent atoms are Nb at (0.0000, 0.0000, 0.0000), Te at (0.5192, 0.5000, 0.0539), Pd at (0.0202, 0.5000, 0.7861), Ru at (0.4347, 0.0000, 0.2326) and I at (0.9795, 0.0000, 0.5332).

For the calculated volume, the calculation gives 125 Å³ per cell.

=====

Run R
Computed, not measured: a relaxed structure of NbTePdRuI at the PBE level of DFT.

The structure belongs to space group Cm (No. 8); the cell edges are 16.4370, 3.6547 and 4.1723 Å and the angles 90.00°, 90.87° and 90.00°. The inequivalent atoms are Nb at (0.0000, 0.0000, 0.0000), Te at (0.3380, 0.0000, 0.8463), Pd at (0.3635, 0.5000, 0.3310), Ru at (0.4844, 0.0000, 0.6067) and I at (0.1254, 0.5000, 0.2805).

For the calculated volume, the calculation gives 251 Å³ per cell.

=====

Run S
Computed, not measured: a relaxed structure of NbTePdRuI at the PBE level of DFT.

The structure belongs to space group Pm (No. 6); the cell edges are 4.5609, 3.6855 and 8.3005 Å and the angles 90.00°, 105.84° and 90.00°. The inequivalent atoms are Nb at (0.0000, 0.0000, 0.0000), Te at (0.6143, 0.0000, 0.2301), Pd at (0.4945, 0.5000, 0.9889), Ru at (0.8990, 0.5000, 0.7965) and I at (0.3137, 0.5000, 0.6247).

For the calculated volume, the calculation gives 134 Å³ per cell.

=====

Result of the stability comparison: run P is the most stable of them.

=====

Run P
Computed, not measured: a relaxed structure of NbTePdI at the PBE level of DFT.

The structure belongs to space group Cm (No. 8); the cell edges are 7.1017, 4.1040 and 8.2923 Å and the angles 90.00°, 106.34° and 90.00°. The inequivalent atoms are Nb at (0.0000, 0.0000, 0.0000), Te at (0.2622, 0.5000, 0.2899), Pd at (0.3792, 0.0000, 0.1393) and I at (0.2534, 0.0000, 0.7558).

For the calculated volume, the calculation gives 232 Å³ per cell.

=====

Run Q
Computed, not measured: a relaxed structure of NbTePdI at the PBE level of DFT.

The structure belongs to space group Cm (No. 8); the cell edges are 9.1565, 3.6611 and 6.8172 Å and the angles 90.00°, 96.09° and 90.00°. The inequivalent atoms are Nb at (0.0000, 0.0000, 0.0000), Te at (0.2804, 0.0000, 0.8656), Pd at (0.0523, 0.5000, 0.7108) and I at (0.0981, 0.5000, 0.3086).

For the calculated volume, the calculation gives 227 Å³ per cell.

=====

Result of the stability comparison: run P is the most stable of them.

=====

Run P
Computed, not measured: a relaxed structure of NbTePdI at the PBE level of DFT.

The structure belongs to space group Cm (No. 8); the cell edges are 7.2630, 4.1924 and 8.1197 Å and the angles 90.00°, 107.65° and 90.00°. The inequivalent atoms are Nb at (0.0000, 0.0000, 0.0000), Te at (0.0756, 0.5000, 0.7315), Pd at (0.2948, 0.0000, 0.8864) and I at (0.2483, 0.5000, 0.2408).

For the calculated volume, the calculation gives 236 Å³ per cell.

=====

Run Q
Computed, not measured: a relaxed structure of NbTePdI at the PBE level of DFT.

The structure belongs to space group Pm (No. 6); the cell edges are 3.9289, 4.1129 and 7.3262 Å and the angles 90.00°, 93.35° and 90.00°. The inequivalent atoms are Nb at (0.0000, 0.0000, 0.0000), Te at (0.5228, 0.0000, 0.2746), Pd at (0.5045, 0.5000, 0.0523) and I at (0.0549, 0.5000, 0.7325).

For the calculated volume, the calculation gives 118 Å³ per cell.

=====

Result of the stability comparison: run P is the most stable of them.